VASP calculation (GGA-PBE) on a relaxed NaTiIn2F8 crystal.

Results
- total magnetic moment (μB per formula unit) = 0.0
- total energy (eV/atom) = -5.170
- crystal system = triclinic
- calculated volume (Å³/cell) = 204.88
- raw formation energy (eV per atom) = -2.70

Cell: 5.542 5.639 6.568 Å, 88.86 89.24 86.93°
Space group P-1 (No. 2)
Unique sites:
Na 0.000 0.000 0.000
Ti 0.000 0.000 0.500
In 0.496 0.495 0.271
F 0.125 0.792 0.292
F 0.146 0.804 0.713
F 0.280 0.169 0.479
F 0.345 0.316 0.004